Record 1
4
Lattice="3.1627 0.0000 0.0000 0.0000 3.1903 0.0000 -1.0980 0.0000 8.7985" Properties=species:S:1:pos:R:3 comment="AlIn, optimized geometry, DFT PBE" mass_density_g_cm3=5.30 m_tot_mub_per_cell=0.00 sg="No. 11" e_form_ev_per_atom=0.1005 pbc="T T T"
Al 0.2270 0.7976 3.5642
Al 1.8376 2.3928 5.2342
In 0.3069 0.7976 7.3889
In 1.7577 2.3928 1.4096

***

Record 2
4
Lattice="1.7097 0.9871 10.3161 -1.7097 0.9871 10.3161 0.0000 -1.9742 10.3161" Properties=species:S:1:pos:R:3 comment="LiY2Cr, optimized geometry, DFT PBE" mass_density_g_cm3=3.76 m_tot_mub_per_cell=4.48 sg="No. 160" e_form_ev_per_atom=0.4695 pbc="T T T"
Li 0.0000 0.0000 0.0000
Y 0.0000 0.0000 7.5417
Y 0.0000 0.0000 14.9198
Cr 0.0000 0.0000 22.8014

***

Record 3
6
Lattice="7.2050 0.0000 0.0000 0.0000 4.1533 0.0000 -2.3241 0.0000 7.3822" Properties=species:S:1:pos:R:3 comment="ZrUTe4, optimized geometry, DFT PBE" e_above_lowest_polymorph_mev_per_atom=0 mass_density_g_cm3=6.31 m_tot_mub_per_cell=2.01 sg="No. 10" e_form_raw_ev_per_atom=-0.72 pbc="T T T"
Zr 0.0000 0.0000 0.0000
U 3.6025 2.0767 0.0000
Te 1.1359 2.0767 1.7519
Te -0.0147 0.0000 5.5833
Te 4.8956 0.0000 1.7990
Te 3.7450 2.0767 5.6303

***

Record 4
10
Lattice="4.9553 0.0000 0.0000 0.0000 4.9553 0.0000 0.0000 0.0000 11.5385" Properties=species:S:1:pos:R:3 comment="Rb2CdSn4Au3, optimized geometry, DFT PBE" mass_density_g_cm3=7.91 m_tot_mub_per_cell=0.00 sg="No. 115" e_form_ev_per_atom=-0.2369 pbc="T T T"
Rb 0.0000 2.4777 2.8476
Rb 2.4777 0.0000 8.6909
Cd 2.4777 2.4777 0.0000
Sn 0.0000 0.0000 5.7692
Sn 0.0000 2.4777 10.0170
Sn 2.4777 0.0000 1.5215
Sn 2.4777 2.4777 5.7692
Au 0.0000 0.0000 0.0000
Au 0.0000 2.4777 7.2148
Au 2.4777 0.0000 4.3237

***

Record 5
4
Lattice="0.0000 3.7306 3.7306 3.7306 0.0000 3.7306 3.7306 3.7306 0.0000" Properties=species:S:1:pos:R:3 comment="NdErAlHg, optimized geometry, DFT PBE" e_above_lowest_polymorph_mev_per_atom=47 mass_density_g_cm3=8.62 m_tot_mub_per_cell=0.00 sg="No. 216" e_form_ev_per_atom=-0.3812 pbc="T T T"
Nd 0.0000 0.0000 0.0000
Er 3.7306 3.7306 3.7306
Al 5.5958 5.5958 5.5958
Hg 1.8653 1.8653 1.8653

***

Record 6
5
Lattice="-2.0108 2.0108 5.7124 2.0108 -2.0108 5.7124 2.0108 2.0108 -5.7124" Properties=species:S:1:pos:R:3 comment="Hf2ZrFe2, optimized geometry, DFT PBE" e_above_lowest_polymorph_mev_per_atom=489 mass_density_g_cm3=10.06 m_tot_mub_per_cell=0.00 sg="No. 139" e_form_ev_per_atom=0.4008 pbc="T T T"
Hf 0.0000 0.0000 1.4447
Hf 0.0000 0.0000 9.9800
Zr 0.0000 0.0000 5.7124
Fe 2.0108 0.0000 2.8562
Fe 0.0000 2.0108 2.8562

***

Record 7
8
Lattice="7.8718 0.0000 0.0000 0.0000 4.5492 0.0000 -2.6217 0.0000 7.4310" Properties=species:S:1:pos:R:3 comment="AcCe2ErSb4, optimized geometry, DFT PBE" mass_density_g_cm3=7.25 m_tot_mub_per_cell=1.60 sg="No. 10" e_form_raw_ev_per_atom=-1.07 pbc="T T T"
Ac 0.0000 0.0000 0.0000
Ce 2.6251 0.0000 3.7155
Ce 3.9359 2.2746 0.0000
Er -1.3108 2.2746 3.7155
Sb 0.0314 0.0000 5.4803
Sb 1.3434 2.2746 1.9764
Sb 3.9067 2.2746 5.4545
Sb 5.2187 0.0000 1.9507

***

Record 8
4
Lattice="4.7261 0.0000 0.0000 0.0000 4.7261 0.0000 0.0000 0.0000 2.8215" Properties=species:S:1:pos:R:3 comment="IrRh2Br, optimized geometry, DFT PBE" e_above_lowest_polymorph_mev_per_atom=302 mass_density_g_cm3=12.59 m_tot_mub_per_cell=0.00 sg="No. 123" e_form_raw_ev_per_atom=0.68 pbc="T T T"
Ir 0.0000 0.0000 0.0000
Rh 0.0000 2.3630 1.4108
Rh 2.3630 0.0000 1.4108
Br 2.3630 2.3630 0.0000